(1)
Material: BaPr2Sc2O7
Method: DFT, meta-GGA SCAN
State: single point on PBEsol structure

Cell: 5.789 5.789 20.348 Å, 90.00 90.00 90.00°
Space group P4_2/mnm (No. 136)
Symmetry-distinct sites (fractional):
Ba (0.241, 0.241, 0.000) [4 per cell]
Pr (0.227, 0.227, 0.184) [8 per cell]
Sc (0.243, 0.243, 0.399) [8 per cell]
O (0.000, 0.000, 0.094) [4 per cell]
O (0.000, 0.000, 0.372) [4 per cell]
O (0.000, 0.500, 0.112) [8 per cell]
O (0.188, 0.812, 0.209) [8 per cell]
O (0.216, 0.216, 0.500) [4 per cell]

Calculated values
Total magnetic moment in μB/atom: 0.00

---

(2)
Material: BaPr2Ti3O10
Method: DFT, meta-GGA SCAN
State: single point on PBEsol structure

Cell: 3.896 28.092 7.626 Å, 90.00 90.00 90.00°
Space group Cmcm (No. 63)
Symmetry-distinct sites (fractional):
Ba (0.000, 0.243, 0.250) [4 per cell]
Pr (0.000, 0.073, 0.250) [4 per cell]
Pr (0.000, 0.080, 0.750) [4 per cell]
Ti (0.000, 0.354, 0.506) [8 per cell]
Ti (0.000, 0.500, 0.000) [4 per cell]
O (0.000, 0.000, 0.000) [4 per cell]
O (0.000, 0.131, 0.008) [8 per cell]
O (0.000, 0.292, 0.548) [8 per cell]
O (0.000, 0.354, 0.250) [4 per cell]
O (0.000, 0.377, 0.750) [4 per cell]
O (0.000, 0.433, 0.049) [8 per cell]
O (0.000, 0.484, 0.750) [4 per cell]

Calculated values
Total magnetic moment in μB/atom: 0.00

---

(3)
Material: Ba5Pt2O9
Method: DFT, meta-GGA SCAN
State: single point on PBEsol structure

Cell: 10.1485 10.1485 8.8950 Å, 90.00 90.00 120.00°
Space group P321 (No. 150)
Symmetry-distinct sites (fractional):
Ba (0.0000, 0.0000, 0.0000) [1 per cell]
Ba (0.0000, 0.6346, 0.0000) [3 per cell]
Ba (0.0000, 0.6695, 0.5000) [3 per cell]
Ba (0.0308, 0.3344, 0.7371) [6 per cell]
Ba (0.3333, 0.6667, 0.2475) [2 per cell]
Pt (0.0000, 0.0000, 0.3455) [2 per cell]
Pt (0.3333, 0.6667, 0.5922) [2 per cell]
Pt (0.3333, 0.6667, 0.9012) [2 per cell]
O (0.0000, 0.1487, 0.5000) [3 per cell]
O (0.0068, 0.8317, 0.2216) [6 per cell]
O (0.1724, 0.6508, 0.7468) [6 per cell]
O (0.1738, 0.4890, 0.0258) [6 per cell]
O (0.1748, 0.4933, 0.4676) [6 per cell]

Calculated values
Total magnetic moment in μB/atom: 0.00

---

(4)
Material: BaPtS2O
Method: DFT, meta-GGA SCAN
State: single point on PBEsol structure

Cell: 4.970 4.970 3.903 Å, 90.00 90.00 90.00°
Space group P4/mmm (No. 123)
Symmetry-distinct sites (fractional):
Ba (0.000, 0.000, 0.000) [1 per cell]
Pt (0.500, 0.500, 0.500) [1 per cell]
S (0.000, 0.500, 0.500) [2 per cell]
O (0.500, 0.500, 0.000) [1 per cell]

Calculated values
Total magnetic moment in μB/atom: 0.19

---

(5)
Material: Ba8Sc3Pt4O18
Method: DFT, meta-GGA SCAN
State: single point on PBEsol structure

Cell: 8.153 8.153 8.153 Å, 90.00 90.00 90.00°
Space group Pm-3m (No. 221)
Symmetry-distinct sites (fractional):
Ba (0.239, 0.239, 0.239) [8 per cell]
Sc (0.000, 0.000, 0.500) [3 per cell]
Pt (0.000, 0.000, 0.000) [1 per cell]
Pt (0.000, 0.500, 0.500) [3 per cell]
O (0.000, 0.000, 0.245) [6 per cell]
O (0.000, 0.255, 0.500) [12 per cell]

Calculated values
Total magnetic moment in μB/atom: 0.03

---

(6)
Material: BaSm2PtO5
Method: DFT, meta-GGA SCAN
State: single point on PBEsol structure

Cell: 6.645 6.645 5.879 Å, 90.00 90.00 90.00°
Space group P4/mbm (No. 127)
Symmetry-distinct sites (fractional):
Ba (0.000, 0.000, 0.000) [2 per cell]
Sm (0.174, 0.326, 0.500) [4 per cell]
Pt (0.000, 0.500, 0.000) [2 per cell]
O (0.000, 0.000, 0.500) [2 per cell]
O (0.140, 0.640, 0.256) [8 per cell]

Calculated values
Total magnetic moment in μB/atom: 0.00

---

(7)
Material: Ba6Ti5PtO18
Method: DFT, meta-GGA SCAN
State: single point on PBEsol structure

Cell: 5.7130 5.7130 14.0369 Å, 90.00 90.00 120.00°
Space group P3m1 (No. 156)
Symmetry-distinct sites (fractional):
Ba (0.0000, 0.0000, 0.0000) [1 per cell]
Ba (0.0000, 0.0000, 0.3072) [1 per cell]
Ba (0.3333, 0.6667, 0.4990) [1 per cell]
Ba (0.3333, 0.6667, 0.8110) [1 per cell]
Ba (0.6667, 0.3333, 0.1539) [1 per cell]
Ba (0.6667, 0.3333, 0.6538) [1 per cell]
Ti (0.0000, 0.0000, 0.7541) [1 per cell]
Ti (0.3333, 0.6667, 0.0621) [1 per cell]
Ti (0.3333, 0.6667, 0.2528) [1 per cell]
Ti (0.6667, 0.3333, 0.4057) [1 per cell]
Ti (0.6667, 0.3333, 0.9079) [1 per cell]
Pt (0.0000, 0.0000, 0.5586) [1 per cell]
O (0.1522, 0.3044, 0.6511) [3 per cell]
O (0.1830, 0.3660, 0.1486) [3 per cell]
O (0.3338, 0.1669, 0.8196) [3 per cell]
O (0.3397, 0.1699, 0.4767) [3 per cell]
O (0.5006, 0.0012, 0.3172) [3 per cell]
O (0.5021, 0.0041, 0.9797) [3 per cell]

Calculated values
Total magnetic moment in μB/atom: 0.00

---

(8)
Material: Ba2PuTaO6
Method: DFT, meta-GGA SCAN
State: single point on PBEsol structure

Cell: 8.504 8.504 8.504 Å, 90.00 90.00 90.00°
Space group Fm-3m (No. 225)
Symmetry-distinct sites (fractional):
Ba (0.250, 0.250, 0.250) [8 per cell]
Pu (0.000, 0.000, 0.000) [4 per cell]
Ta (0.000, 0.000, 0.500) [4 per cell]
O (0.000, 0.000, 0.264) [24 per cell]

Calculated values
Total magnetic moment in μB/atom: 0.50

---

(9)
Material: Ba2PuTiO6
Method: DFT, meta-GGA SCAN
State: single point on PBEsol structure

Cell: 8.320 8.320 8.320 Å, 90.00 90.00 90.00°
Space group Fm-3m (No. 225)
Symmetry-distinct sites (fractional):
Ba (0.250, 0.250, 0.250) [8 per cell]
Pu (0.000, 0.000, 0.000) [4 per cell]
Ti (0.000, 0.000, 0.500) [4 per cell]
O (0.000, 0.000, 0.262) [24 per cell]

Calculated values
Total magnetic moment in μB/atom: 0.40

---

(10)
Material: Ba2PuZnO6
Method: DFT, meta-GGA SCAN
State: single point on PBEsol structure

Cell: 8.313 8.313 8.313 Å, 90.00 90.00 90.00°
Space group Fm-3m (No. 225)
Symmetry-distinct sites (fractional):
Ba (0.250, 0.250, 0.250) [8 per cell]
Pu (0.000, 0.000, 0.000) [4 per cell]
Zn (0.000, 0.000, 0.500) [4 per cell]
O (0.000, 0.000, 0.247) [24 per cell]

Calculated values
Total magnetic moment in μB/atom: 0.20

---

(11)
Material: RbBaO3
Method: DFT, meta-GGA SCAN
State: single point on PBEsol structure

Cell: 4.630 4.630 4.630 Å, 90.00 90.00 90.00°
Space group Pm-3m (No. 221)
Symmetry-distinct sites (fractional):
Rb (0.000, 0.000, 0.000) [1 per cell]
Ba (0.500, 0.500, 0.500) [1 per cell]
O (0.000, 0.500, 0.500) [3 per cell]

Calculated values
Total magnetic moment in μB/atom: 0.11

---

(12)
Material: RbBaScSi3O9
Method: DFT, meta-GGA SCAN
State: single point on PBEsol structure

Cell: 6.959 10.242 13.725 Å, 90.00 120.37 90.00°
Space group P2_1/c (No. 14)
Symmetry-distinct sites (fractional):
Rb (0.168, 0.053, 0.422) [4 per cell]
Ba (0.172, 0.058, 0.912) [4 per cell]
Sc (0.477, 0.504, 0.734) [4 per cell]
Si (0.117, 0.248, 0.623) [4 per cell]
Si (0.251, 0.746, 0.815) [4 per cell]
Si (0.371, 0.736, 0.059) [4 per cell]
O (0.012, 0.250, 0.209) [4 per cell]
O (0.099, 0.713, 0.005) [4 per cell]
O (0.192, 0.106, 0.110) [4 per cell]
O (0.241, 0.630, 0.734) [4 per cell]
O (0.283, 0.127, 0.654) [4 per cell]
O (0.301, 0.606, 0.295) [4 per cell]
O (0.411, 0.704, 0.950) [4 per cell]
O (0.440, 0.612, 0.589) [4 per cell]
O (0.490, 0.126, 0.350) [4 per cell]

Calculated values
Total magnetic moment in μB/atom: 0.00

---

no.,formation energy from raw total energies (eV/atom),total energy (eV per atom)
1,-3.68,-20.2038
2,-3.54,-18.3246
3,-2.18,-26.8185
4,-1.01,-28.0566
5,-2.57,-25.3579
6,-2.94,-28.4730
7,-3.13,-19.7898
8,-3.16,-32.4782
9,-3.27,-27.5328
10,-2.73,-26.7441
11,-0.86,-16.6542
12,-3.21,-13.9205